[1]
This record from Alexandria via LeMat-Bulk describes an optimized crystal structure of Li2CaBi. The functional is PBE. Values from VASP.

Quantum ESPRESSO input file:
```
&SYSTEM
  ibrav = 0, nat = 8, ntyp = 3
/
ATOMIC_SPECIES
Ca 40.08 Ca.upf
Bi 208.98 Bi.upf
Li 6.94 Li.upf
CELL_PARAMETERS angstrom
4.6492 0.0000 0.0000
0.0000 4.6492 0.0000
2.3246 2.3246 10.3434
ATOMIC_POSITIONS crystal
Ca 0.5000 0.5000 0.0000
Ca 0.2500 0.7500 0.5000
Bi 0.0000 0.0000 0.0000
Bi 0.7500 0.2500 0.5000
Li 0.7129 0.1250 0.2500
Li 0.0371 0.6250 0.2500
Li 0.3750 0.2871 0.7500
Li 0.8750 0.9629 0.7500
```

Values from the calculation:
As for the space-group type: No. 122. Its energy relative to the elements is -0.298 eV/atom. The uncorrected energy comes out at -21.8 eV/cell. The density of states at the Fermi level is 0.30 states/eV per atom.

---

[2]
This record from Alexandria via LeMat-Bulk describes an optimized crystal structure of Li12CaBi4. The functional is PBE. Values from VASP.

Quantum ESPRESSO input file:
```
&SYSTEM
  ibrav = 0, nat = 17, ntyp = 3
/
ATOMIC_SPECIES
Li 6.94 Li.upf
Ca 40.08 Ca.upf
Bi 208.98 Bi.upf
CELL_PARAMETERS angstrom
-7.8656 -1.7040 -3.1854
5.8993 -0.8396 -6.2779
1.7859 -5.5490 6.3982
ATOMIC_POSITIONS crystal
Li 0.8103 0.3326 0.1429
Li 0.3326 0.5223 0.1897
Li 0.8571 0.1897 0.6674
Li 0.3326 0.1429 0.8103
Li 0.1429 0.8103 0.3326
Li 0.6674 0.4777 0.8103
Li 0.5223 0.1897 0.3326
Li 0.4777 0.8103 0.6674
Li 0.6674 0.8571 0.1897
Li 0.8103 0.6674 0.4777
Li 0.1897 0.3326 0.5223
Li 0.1897 0.6674 0.8571
Ca 0.0000 0.0000 0.0000
Bi 0.0000 0.5000 0.0000
Bi 0.5000 0.0000 0.0000
Bi 0.5000 0.5000 0.5000
Bi 0.0000 0.0000 0.5000
```

Values from the calculation:
As for the space-group type: No. 204. Its energy relative to the elements is -0.186 eV/atom. The uncorrected energy comes out at -43.7 eV/cell. The density of states at the Fermi level is 0.24 states/eV per atom.

---

[3]
This record from Alexandria via LeMat-Bulk describes an optimized crystal structure of Li5Ca3Bi2. The functional is PBE. Values from VASP.

Quantum ESPRESSO input file:
```
&SYSTEM
  ibrav = 0, nat = 20, ntyp = 3
/
ATOMIC_SPECIES
Li 6.94 Li.upf
Ca 40.08 Ca.upf
Bi 208.98 Bi.upf
CELL_PARAMETERS angstrom
-4.3293 2.9139 -4.1019
-5.6448 -6.6503 -4.1371
-8.4715 1.2499 4.4584
ATOMIC_POSITIONS crystal
Li 0.2500 0.5000 0.5000
Li 0.7500 0.5000 0.5000
Li 0.4831 0.7669 0.7669
Li 0.0169 0.2331 0.2331
Li 0.5169 0.2331 0.2331
Li 0.9831 0.7669 0.7669
Li 0.1265 0.4731 0.2740
Li 0.8735 0.5269 0.7260
Li 0.6265 0.2740 0.4731
Li 0.3735 0.7260 0.5269
Ca 0.2500 0.0000 0.0000
Ca 0.7500 0.0000 0.0000
Ca 0.3732 0.4010 0.8526
Ca 0.6268 0.5990 0.1474
Ca 0.8732 0.8526 0.4010
Ca 0.1268 0.1474 0.5990
Bi 0.1302 0.6984 0.0412
Bi 0.8698 0.3016 0.9588
Bi 0.6302 0.0412 0.6984
Bi 0.3698 0.9588 0.3016
```

Values from the calculation:
As for the space-group type: No. 72. Its energy relative to the elements is -0.334 eV/atom. The uncorrected energy comes out at -53.4 eV/cell. The density of states at the Fermi level is 0.42 states/eV per atom.

---

[4]
This record from Alexandria via LeMat-Bulk describes an optimized crystal structure of Li6CaBi4. The functional is PBE. Values from VASP.

Quantum ESPRESSO input file:
```
&SYSTEM
  ibrav = 0, nat = 11, ntyp = 3
/
ATOMIC_SPECIES
Li 6.94 Li.upf
Ca 40.08 Ca.upf
Bi 208.98 Bi.upf
CELL_PARAMETERS angstrom
4.5091 0.0000 0.0000
0.0000 8.1842 0.0000
0.0000 -4.0921 7.0877
ATOMIC_POSITIONS crystal
Li 0.0000 0.5322 0.0643
Li 0.5000 0.5713 0.7857
Li 0.0000 0.5322 0.4678
Li 0.0000 0.9357 0.4678
Li 0.5000 0.2143 0.7857
Li 0.5000 0.2143 0.4287
Ca 0.0000 0.0000 0.0000
Bi 0.5000 0.8154 0.6308
Bi 0.5000 0.3692 0.1846
Bi 0.5000 0.8154 0.1846
Bi 0.0000 0.3333 0.6667
```

Values from the calculation:
As for the space-group type: No. 187. Its energy relative to the elements is -0.437 eV/atom. The uncorrected energy comes out at -33.8 eV/cell. The density of states at the Fermi level is 0.52 states/eV per atom.

---

[5]
This record from Alexandria via LeMat-Bulk describes an optimized crystal structure of LiCaBi2. The functional is PBE. Values from VASP.

Quantum ESPRESSO input file:
```
&SYSTEM
  ibrav = 0, nat = 8, ntyp = 3
/
ATOMIC_SPECIES
Ca 40.08 Ca.upf
Bi 208.98 Bi.upf
Li 6.94 Li.upf
CELL_PARAMETERS angstrom
-4.9734 -0.0973 -1.4655
0.7174 -4.6761 -2.1240
-4.5390 -6.6001 6.6670
ATOMIC_POSITIONS crystal
Ca 0.0000 0.0000 0.0000
Ca 0.7500 0.2500 0.5000
Bi 0.5664 0.1250 0.2500
Bi 0.1836 0.6250 0.2500
Bi 0.3750 0.4336 0.7500
Bi 0.8750 0.8164 0.7500
Li 0.5000 0.5000 0.0000
Li 0.2500 0.7500 0.5000
```

Values from the calculation:
As for the space-group type: No. 122. Its energy relative to the elements is -0.363 eV/atom. The uncorrected energy comes out at -26.3 eV/cell. The density of states at the Fermi level is 0.49 states/eV per atom.

---

[6]
This record from Alexandria via LeMat-Bulk describes an optimized crystal structure of Li2Ca3Bi3. The functional is PBE. Values from VASP.

Quantum ESPRESSO input file:
```
&SYSTEM
  ibrav = 0, nat = 8, ntyp = 3
/
ATOMIC_SPECIES
Li 6.94 Li.upf
Ca 40.08 Ca.upf
Bi 208.98 Bi.upf
CELL_PARAMETERS angstrom
-1.9462 3.9532 -1.4200
-2.5984 0.0718 3.7614
3.6409 11.7348 5.0738
ATOMIC_POSITIONS crystal
Li 0.7510 0.7505 0.4995
Li 0.2490 0.2495 0.5005
Ca 0.0762 0.3592 0.2819
Ca 0.9238 0.6408 0.7181
Ca 0.0000 0.0000 0.0000
Bi 0.4886 0.8298 0.3405
Bi 0.5000 0.5000 0.0000
Bi 0.5114 0.1702 0.6595
```

Values from the calculation:
As for the space-group type: No. 2. Its energy relative to the elements is -0.727 eV/atom. The uncorrected energy comes out at -27.3 eV/cell. The density of states at the Fermi level is 0.34 states/eV per atom.

---

[7]
This record from Alexandria via LeMat-Bulk describes an optimized crystal structure of LiCaBi3. The functional is PBE. Values from VASP.

Quantum ESPRESSO input file:
```
&SYSTEM
  ibrav = 0, nat = 5, ntyp = 3
/
ATOMIC_SPECIES
Ca 40.08 Ca.upf
Bi 208.98 Bi.upf
Li 6.94 Li.upf
CELL_PARAMETERS angstrom
-4.8937 2.9355 1.4009
0.1643 -2.3045 5.4028
3.2485 4.5388 1.8371
ATOMIC_POSITIONS crystal
Ca 0.0000 0.0000 0.0000
Bi 0.0000 0.5000 0.0000
Bi 0.0000 0.0000 0.5000
Bi 0.5000 0.0000 0.0000
Li 0.5000 0.5000 0.5000
```

Values from the calculation:
As for the energy above the lowest structure with this stoichiometry: 46.68 kJ/mol of atoms. As for the space-group type: No. 221. Its energy relative to the elements is 0.300 eV/atom. The uncorrected energy comes out at -14.1 eV/cell. The density of states at the Fermi level is 0.45 states/eV per atom.

---

[8]
This record from Alexandria via LeMat-Bulk describes an optimized crystal structure of Li2Ca2Bi. The functional is PBE. Values from VASP.

Quantum ESPRESSO input file:
```
&SYSTEM
  ibrav = 0, nat = 5, ntyp = 3
/
ATOMIC_SPECIES
Ca 40.08 Ca.upf
Bi 208.98 Bi.upf
Li 6.94 Li.upf
CELL_PARAMETERS angstrom
3.9418 0.0000 0.0000
0.0000 3.9418 0.0000
1.9709 1.9709 9.8419
ATOMIC_POSITIONS crystal
Ca 0.4030 0.4030 0.1939
Ca 0.5970 0.5970 0.8061
Bi 0.0000 0.0000 0.0000
Li 0.7500 0.2500 0.5000
Li 0.2500 0.7500 0.5000
```

Values from the calculation:
As for the energy above the lowest structure with this stoichiometry: 10.94 kJ/mol of atoms. As for the space-group type: No. 139. Its energy relative to the elements is -0.233 eV/atom. The uncorrected energy comes out at -12.9 eV/cell. The density of states at the Fermi level is 0.84 states/eV per atom.

---

[9]
This record from Alexandria via LeMat-Bulk describes an optimized crystal structure of LiCaBi2. The functional is PBE. Values from VASP.

Quantum ESPRESSO input file:
```
&SYSTEM
  ibrav = 0, nat = 8, ntyp = 3
/
ATOMIC_SPECIES
Li 6.94 Li.upf
Ca 40.08 Ca.upf
Bi 208.98 Bi.upf
CELL_PARAMETERS angstrom
4.6297 0.0000 0.0000
0.0000 4.6297 0.0000
0.0000 0.0000 10.3471
ATOMIC_POSITIONS crystal
Li 0.0000 0.0000 0.0000
Li 0.5000 0.5000 0.0000
Ca 0.0000 0.5000 0.2439
Ca 0.5000 0.0000 0.7561
Bi 0.0000 0.5000 0.8362
Bi 0.5000 0.0000 0.1638
Bi 0.0000 0.0000 0.5000
Bi 0.5000 0.5000 0.5000
```

Values from the calculation:
As for the space-group type: No. 129. Its energy relative to the elements is -0.512 eV/atom. The uncorrected energy comes out at -27.5 eV/cell. The density of states at the Fermi level is 0.72 states/eV per atom.

---

[10]
This record from Alexandria via LeMat-Bulk describes an optimized crystal structure of Li2Ca2Bi. The functional is PBE. Values from VASP.

Quantum ESPRESSO input file:
```
&SYSTEM
  ibrav = 0, nat = 10, ntyp = 3
/
ATOMIC_SPECIES
Ca 40.08 Ca.upf
Bi 208.98 Bi.upf
Li 6.94 Li.upf
CELL_PARAMETERS angstrom
-1.2308 -7.6819 3.5050
5.8505 -3.3299 -5.2435
3.0993 0.8383 2.9257
ATOMIC_POSITIONS crystal
Ca 0.3441 0.8441 0.0000
Ca 0.8441 0.6559 0.0000
Ca 0.6559 0.1559 0.0000
Ca 0.1559 0.3441 0.0000
Bi 0.0000 0.0000 0.0000
Bi 0.5000 0.5000 0.0000
Li 0.1387 0.6387 0.5000
Li 0.6387 0.8613 0.5000
Li 0.8613 0.3613 0.5000
Li 0.3613 0.1387 0.5000
```

Values from the calculation:
As for the energy above the lowest structure with this stoichiometry: 26.05 kJ/mol of atoms. As for the space-group type: No. 127. Its energy relative to the elements is -0.076 eV/atom. The uncorrected energy comes out at -24.2 eV/cell. The density of states at the Fermi level is 1.05 states/eV per atom.

---

[11]
This record from Alexandria via LeMat-Bulk describes an optimized crystal structure of Li2CaBi. The functional is PBE. Values from VASP.

Quantum ESPRESSO input file:
```
&SYSTEM
  ibrav = 0, nat = 4, ntyp = 3
/
ATOMIC_SPECIES
Ca 40.08 Ca.upf
Bi 208.98 Bi.upf
Li 6.94 Li.upf
CELL_PARAMETERS angstrom
4.7690 0.0000 0.0000
0.0000 4.6044 0.0000
0.0000 0.0000 4.6044
ATOMIC_POSITIONS crystal
Ca 0.5000 0.5000 0.5000
Bi 0.5000 0.0000 0.0000
Li 0.0000 0.0000 0.5000
Li 0.0000 0.5000 0.0000
```

Values from the calculation:
As for the space-group type: No. 123. Its energy relative to the elements is -0.440 eV/atom. The uncorrected energy comes out at -11.5 eV/cell. The density of states at the Fermi level is 0.38 states/eV per atom.

---

[12]
This record from Alexandria via LeMat-Bulk describes an optimized crystal structure of LiCaMnBi2. The functional is PBE. Values from VASP.

Quantum ESPRESSO input file:
```
&SYSTEM
  ibrav = 0, nat = 5, ntyp = 4
/
ATOMIC_SPECIES
Ca 40.08 Ca.upf
Mn 54.94 Mn.upf
Bi 208.98 Bi.upf
Li 6.94 Li.upf
CELL_PARAMETERS angstrom
5.3502 0.0000 0.0000
0.0000 5.3199 0.0000
0.0000 0.0000 5.3502
ATOMIC_POSITIONS crystal
Ca 0.0000 0.5000 0.0000
Mn 0.0000 0.0000 0.0000
Bi 0.0000 0.0000 0.5000
Bi 0.5000 0.0000 0.0000
Li 0.5000 0.5000 0.5000
```

Values from the calculation:
As for the space-group type: No. 123. Its energy relative to the elements is 0.137 eV/atom. The uncorrected energy comes out at -20.2 eV/cell. The density of states at the Fermi level is 0.70 states/eV per atom.